Record 1
# Tc2HIrI

A geometry-optimized Tc2HIrI structure (PBE-GGA, the Alexandria database).

Calculated values
The uncorrected energy is -30.55 eV/cell. For the total magnetic moment, the calculation gives 0.0000 μB/atom. The density of states at the Fermi level comes out at 3.4 states/eV/f.u.

a = 4.2285 Å, b = 4.2285 Å, c = 3.7927 Å
α = 90.00°, β = 90.00°, γ = 90.00°
Closest atoms and distances in Å follow each position.
Space group P4/mmm (No. 123)
Asymmetric unit:
1 Tc 0.0000 0.5000 0.0000 [2 per cell]  2 H 2.11
2 H 0.0000 0.0000 0.0000 [1 per cell]  2 Ir 1.90, 4 Tc 2.11
3 Ir 0.0000 0.0000 0.5000 [1 per cell]  2 H 1.90
4 I 0.5000 0.5000 0.5000 [1 per cell]  8 Tc 2.84, 4 Ir 2.99


Record 2
# Te2HIrI

A geometry-optimized Te2HIrI structure (PBE-GGA, the Alexandria database).

Calculated values
The uncorrected energy is -15.89 eV/cell. For the total magnetic moment, the calculation gives 0.1938 μB/atom. The density of states at the Fermi level comes out at 4.1 states/eV/f.u. The relative energy among the computed polymorphs is 0.000 eV per atom.

a = 5.1908 Å, b = 5.1908 Å, c = 5.8602 Å
α = 90.00°, β = 90.00°, γ = 90.00°
Closest atoms and distances in Å follow each position.
Space group P4/mmm (No. 123)
Asymmetric unit:
1 Te 0.0000 0.5000 0.0000 [2 per cell]  2 Ir 2.60
2 H 0.0000 0.0000 0.5000 [1 per cell]  4 I 3.67, 8 Te 3.91
3 Ir 0.5000 0.5000 0.0000 [1 per cell]  4 Te 2.60
4 I 0.5000 0.5000 0.5000 [1 per cell]  2 Ir 2.93


Record 3
# Te2HIrI

A geometry-optimized Te2HIrI structure (PBE-GGA, the Alexandria database).

Calculated values
The uncorrected energy is -14.63 eV/cell. For the total magnetic moment, the calculation gives 0.0000 μB/atom. The density of states at the Fermi level comes out at 4.4 states/eV/f.u. The relative energy among the computed polymorphs is 0.253 eV per atom.

a = 4.3296 Å, b = 4.3296 Å, c = 5.5090 Å
α = 90.00°, β = 90.00°, γ = 90.00°
Closest atoms and distances in Å follow each position.
Space group P4/mmm (No. 123)
Asymmetric unit:
1 Te 0.0000 0.5000 0.0000 [2 per cell]  2 H 2.16
2 H 0.0000 0.0000 0.0000 [1 per cell]  4 Te 2.16
3 Ir 0.5000 0.5000 0.5000 [1 per cell]  4 I 3.06
4 I 0.0000 0.0000 0.5000 [1 per cell]  2 H 2.75, 4 Ir 3.06


Record 4
# TeH2IrI

A geometry-optimized TeH2IrI structure (PBE-GGA, the Alexandria database).

Calculated values
The uncorrected energy is -18.16 eV/cell. For the total magnetic moment, the calculation gives 0.0000 μB/atom. The density of states at the Fermi level comes out at 1.6 states/eV/f.u.

a = 3.9754 Å, b = 3.9754 Å, c = 5.2976 Å
α = 90.00°, β = 90.00°, γ = 90.00°
Closest atoms and distances in Å follow each position.
Space group P4/mmm (No. 123)
Asymmetric unit:
1 Te 0.0000 0.0000 0.0000 [1 per cell]  4 H 1.99
2 H 0.0000 0.5000 0.0000 [2 per cell]  2 Te 1.99
3 Ir 0.0000 0.0000 0.5000 [1 per cell]  2 Te 2.65, 4 I 2.81
4 I 0.5000 0.5000 0.5000 [1 per cell]  4 Ir 2.81


Record 5
# KHI2

A geometry-optimized KHI2 structure (PBE-GGA, the Alexandria database).

Calculated values
The uncorrected energy is -30.16 eV/cell. For the total magnetic moment, the calculation gives 0.4912 μB/atom. The density of states at the Fermi level comes out at 4.5 states/eV/f.u. The relative energy among the computed polymorphs is 0.724 eV per atom.

a = 8.2814 Å, b = 8.2814 Å, c = 8.2814 Å
α = 90.00°, β = 90.00°, γ = 90.00°
Closest atoms and distances in Å follow each position.
Space group Fm-3m (No. 225)
Asymmetric unit:
1 K 0.0000 0.0000 0.0000 [4 per cell]  8 I 3.59
2 H 0.0000 0.0000 0.5000 [4 per cell]  8 I 3.59
3 I 0.2500 0.2500 0.2500 [8 per cell]  4 H 3.59, 4 K 3.59


Record 6
# KHI

A geometry-optimized KHI structure (PBE-GGA, the Alexandria database).

Calculated values
The uncorrected energy is -35.29 eV/cell. For the total magnetic moment, the calculation gives 0.0000 μB/atom. The density of states at the Fermi level comes out at 0.0 states/eV/f.u. The relative energy among the computed polymorphs is 0.037 eV per atom.

a = 11.2080 Å, b = 4.6673 Å, c = 8.1454 Å
α = 90.00°, β = 91.39°, γ = 90.00°
Closest atoms and distances in Å follow each position.
Space group Cm (No. 8)
Asymmetric unit:
1 K 0.0000 0.0000 0.0000 [2 per cell]  2 H 3.05-3.38
2 K 0.2040 0.0000 0.5020 [2 per cell]  4 H 3.14-3.16
3 H 0.2534 0.5000 0.7519 [2 per cell]  1 H 0.76
4 H 0.3158 0.5000 0.7182 [2 per cell]  1 H 0.76
5 I 0.2121 0.5000 0.1765 [2 per cell]  1 H 3.50, 5 K 3.53-3.61
6 I 0.4967 0.0000 0.6689 [2 per cell]  3 H 2.94-3.12


Record 7
# KH4I

A geometry-optimized KH4I structure (PBE-GGA, the Alexandria database).

Calculated values
The uncorrected energy is -18.97 eV/cell. For the total magnetic moment, the calculation gives 0.0000 μB/atom. The density of states at the Fermi level comes out at 0.0 states/eV/f.u.

a = 4.8662 Å, b = 4.9630 Å, c = 7.4846 Å
α = 105.21°, β = 98.88°, γ = 90.09°
Closest atoms and distances in Å follow each position.
Space group P-1 (No. 2)
Asymmetric unit:
1 K 0.0000 0.0000 0.0000 [1 per cell]  4 H 3.03-3.22
2 H 0.2108 0.2694 0.4409 [2 per cell]  1 H 0.75
3 H 0.2840 0.3387 0.3820 [2 per cell]  1 H 0.75
4 I 0.5000 0.5000 0.0000 [1 per cell]  2 H 3.47, 4 K 3.47-3.48


Record 8
# KHI

A geometry-optimized KHI structure (PBE-GGA, the Alexandria database).

Calculated values
The uncorrected energy is -13.72 eV/cell. For the total magnetic moment, the calculation gives 0.3334 μB/atom. The relative energy among the computed polymorphs is 0.691 eV per atom.

a = 5.0849 Å, b = 5.0987 Å, c = 7.3036 Å
α = 90.00°, β = 91.39°, γ = 90.00°
Closest atoms and distances in Å follow each position.
Space group P2_1/m (No. 11)
Asymmetric unit:
1 K 0.2428 0.2500 0.2807 [2 per cell]  3 H 2.83-2.85
2 H 0.1046 0.7500 0.4226 [2 per cell]  1 I 2.36
3 I 0.2609 0.2500 0.7826 [2 per cell]  1 H 2.36


Record 9
# K2HI

A geometry-optimized K2HI structure (PBE-GGA, the Alexandria database).

Calculated values
The uncorrected energy is -9.83 eV/cell. For the total magnetic moment, the calculation gives 0.0000 μB/atom. The density of states at the Fermi level comes out at 0.0 states/eV/f.u. The relative energy among the computed polymorphs is 0.143 eV per atom.

a = 3.9989 Å, b = 3.9989 Å, c = 7.9509 Å
α = 90.00°, β = 90.00°, γ = 90.00°
Closest atoms and distances in Å follow each position.
Space group P4/mmm (No. 123)
Asymmetric unit:
1 K 0.0000 0.0000 0.2210 [2 per cell]  4 H 3.33, 1 K 3.51, 4 I 3.59
2 H 0.5000 0.5000 0.0000 [1 per cell]  8 K 3.33
3 I 0.5000 0.5000 0.5000 [1 per cell]  8 K 3.59, 2 H 3.98, 4 I 4.00


Record 10
# KHI2

A geometry-optimized KHI2 structure (PBE-GGA, the Alexandria database).

Calculated values
The uncorrected energy is -41.56 eV/cell. For the total magnetic moment, the calculation gives 0.0000 μB/atom. The density of states at the Fermi level comes out at 0.0 states/eV/f.u. The relative energy among the computed polymorphs is 0.012 eV per atom.

a = 14.5256 Å, b = 5.3345 Å, c = 9.8488 Å
α = 90.00°, β = 116.09°, γ = 90.00°
Closest atoms and distances in Å follow each position.
Space group C2/c (No. 15)
Asymmetric unit:
1 K 0.2500 0.2500 0.0000 [4 per cell]  6 I 3.48-3.80, 2 H 3.87
2 H 0.0000 0.0000 0.0000 [4 per cell]  2 I 1.93
3 I 0.1192 0.2096 0.5974 [8 per cell]  1 H 1.93


Record 11
# KHI

A geometry-optimized KHI structure (PBE-GGA, the Alexandria database).

Calculated values
The uncorrected energy is -35.38 eV/cell. For the total magnetic moment, the calculation gives 0.0000 μB/atom. The density of states at the Fermi level comes out at 0.0 states/eV/f.u. The relative energy among the computed polymorphs is 0.029 eV per atom.

a = 8.8925 Å, b = 5.1476 Å, c = 9.8241 Å
α = 90.00°, β = 108.59°, γ = 90.00°
Closest atoms and distances in Å follow each position.
Space group Cm (No. 8)
Asymmetric unit:
1 K 0.0000 0.0000 0.0000 [2 per cell]  6 I 3.44-3.79
2 K 0.1601 0.0000 0.4548 [2 per cell]  6 H 2.98-3.20, 1 I 3.33
3 H 0.0086 0.5000 0.5016 [2 per cell]  1 H 0.76
4 H 0.0388 0.5000 0.5828 [2 per cell]  1 H 0.76
5 I 0.2553 0.5000 0.2532 [2 per cell]  6 K 3.51-3.79, 3 H 3.76-3.77
6 I 0.2677 0.0000 0.8121 [2 per cell]  4 K 3.33-3.45, 2 H 3.59


Record 12
# K2HI

A geometry-optimized K2HI structure (PBE-GGA, the Alexandria database).

Calculated values
The uncorrected energy is -41.06 eV/cell. For the total magnetic moment, the calculation gives 0.0000 μB/atom. The density of states at the Fermi level comes out at 0.0 states/eV/f.u. The relative energy among the computed polymorphs is 0.034 eV per atom.

a = 7.9715 Å, b = 7.9715 Å, c = 9.0577 Å
α = 90.00°, β = 90.00°, γ = 90.00°
Closest atoms and distances in Å follow each position.
Space group I-42d (No. 122)
Asymmetric unit:
1 K 0.1637 0.2500 0.1250 [8 per cell]  2 H 2.64
2 H 0.0000 0.0000 0.0000 [4 per cell]  4 K 2.64
3 I 0.0000 0.0000 0.5000 [4 per cell]  4 K 3.53


Copy entry 1 word for word.
# Tc2HIrI

A geometry-optimized Tc2HIrI structure (PBE-GGA, the Alexandria database).

Calculated values
The uncorrected energy is -30.55 eV/cell. For the total magnetic moment, the calculation gives 0.0000 μB/atom. The density of states at the Fermi level comes out at 3.4 states/eV/f.u.

a = 4.2285 Å, b = 4.2285 Å, c = 3.7927 Å
α = 90.00°, β = 90.00°, γ = 90.00°
Closest atoms and distances in Å follow each position.
Space group P4/mmm (No. 123)
Asymmetric unit:
1 Tc 0.0000 0.5000 0.0000 [2 per cell]  2 H 2.11
2 H 0.0000 0.0000 0.0000 [1 per cell]  2 Ir 1.90, 4 Tc 2.11
3 Ir 0.0000 0.0000 0.5000 [1 per cell]  2 H 1.90
4 I 0.5000 0.5000 0.5000 [1 per cell]  8 Tc 2.84, 4 Ir 2.99